(1)
Entry from the Alexandria database: crystalline NaTl2SnS4 at its relaxed geometry (PBE).

Cell: 7.174 7.384 6.902 Å, 127.93 126.94 81.22°
Element x y z (fractional)
S 0.648 0.654 0.704
S 0.056 0.049 0.704
S 0.344 0.750 0.101
S 0.756 0.350 0.099
Tl 0.246 0.247 0.493
Tl 0.552 0.053 0.105
Sn 0.727 0.727 0.455
Na 0.057 0.557 0.113

Results
E, eV per atom: -3.783

(2)
Entry from the Alexandria database: crystalline NaTlSnS3 at its relaxed geometry (PBE).

Cell: 6.901 7.169 7.911 Å, 116.94 90.00 90.00°
Element x y z (fractional)
S 0.500 0.235 0.000
S 0.000 0.765 0.000
S 0.000 0.235 0.000
S 0.500 0.765 0.000
S 0.250 0.226 0.452
S 0.750 0.774 0.548
Na 0.750 0.583 0.166
Na 0.250 0.417 0.834
Sn 0.750 0.943 0.886
Sn 0.250 0.057 0.114
Tl 0.750 0.223 0.446
Tl 0.250 0.777 0.554

Results
E, eV per atom: -3.890

| no. | mass density (g/cm³) |
| --- | --- |
| 1 | 5.207 |
| 2 | 4.210 |